Entry 1:
The following is a DFT calculation (meta-GGA SCAN) of Rh3Pb2Se2 at its PBEsol-relaxed geometry.

- size of the total moment (μB/atom) = 0.000
- V (Å³/f.u.) = 135

Cell: 5.7117 5.7117 5.8162 Å, 60.59 60.59 60.00°
Atoms (fractional coordinates):
Se (0.7893, 0.7893, 0.6322)
Se (0.2107, 0.2107, 0.3678)
Rh (0.5000, 0.0000, 0.0000)
Rh (0.5000, 0.5000, 0.0000)
Rh (0.0000, 0.5000, 0.0000)
Pb (0.0000, 0.0000, 0.0000)
Pb (0.5000, 0.5000, 0.5000)

Entry 2:
The following is a DFT calculation (meta-GGA SCAN) of BaNaZrF7 at its PBEsol-relaxed geometry.

- size of the total moment (μB/atom) = 0.007
- V (Å³/f.u.) = 139

Cell: 5.5217 9.0505 11.1201 Å, 90.00 90.00 90.00°
Atoms (fractional coordinates):
F (0.4977, 0.2214, 0.7233)
F (0.4907, 0.1686, 0.9837)
F (0.5023, 0.7786, 0.2767)
F (0.7500, 0.4805, 0.3283)
F (0.4907, 0.6686, 0.5163)
F (0.4830, 0.4240, 0.8877)
F (0.9907, 0.3314, 0.4837)
F (0.5170, 0.0760, 0.3877)
F (0.4977, 0.7214, 0.7767)
F (0.0170, 0.9240, 0.6123)
F (0.0093, 0.6686, 0.5163)
F (0.0023, 0.2214, 0.7233)
F (0.5093, 0.8314, 0.0163)
F (0.9977, 0.2786, 0.2233)
F (0.9830, 0.5760, 0.1123)
F (0.0170, 0.4240, 0.8877)
F (0.9977, 0.7786, 0.2767)
F (0.5093, 0.3314, 0.4837)
F (0.0093, 0.1686, 0.9837)
F (0.2500, 0.5195, 0.6717)
F (0.4830, 0.9240, 0.6123)
F (0.9907, 0.8314, 0.0163)
F (0.0023, 0.7214, 0.7767)
F (0.7500, 0.9805, 0.1717)
F (0.5023, 0.2786, 0.2233)
F (0.5170, 0.5760, 0.1123)
F (0.2500, 0.0195, 0.8283)
F (0.9830, 0.0760, 0.3877)
Zr (0.2500, 0.7505, 0.6407)
Zr (0.7500, 0.7495, 0.1407)
Zr (0.2500, 0.2505, 0.8593)
Zr (0.7500, 0.2495, 0.3593)
Ba (0.7500, 0.9717, 0.8268)
Ba (0.2500, 0.0283, 0.1732)
Ba (0.2500, 0.5283, 0.3268)
Ba (0.7500, 0.4717, 0.6732)
Na (0.7500, 0.3642, 0.0544)
Na (0.2500, 0.6358, 0.9456)
Na (0.7500, 0.8642, 0.4456)
Na (0.2500, 0.1358, 0.5544)

Entry 3:
The following is a DFT calculation (meta-GGA SCAN) of Lu12In2Fe3 at its PBEsol-relaxed geometry.

- size of the total moment (μB/atom) = 0.012
- V (Å³/f.u.) = 397
- calculated formation energy (eV per atom) = -0.229

Cell: 8.0227 8.0227 8.0227 Å, 108.51 108.51 111.41°
Atoms (fractional coordinates):
Lu (0.8083, 0.5721, 0.7637)
Lu (0.8083, 0.0446, 0.2363)
Lu (0.9554, 0.1917, 0.7637)
Lu (0.3068, 0.6932, 0.0000)
Lu (0.5721, 0.8083, 0.7637)
Lu (0.0446, 0.8083, 0.2363)
Lu (0.4279, 0.1917, 0.2363)
Lu (0.6932, 0.6932, 0.3863)
Lu (0.3068, 0.3068, 0.6137)
Lu (0.1917, 0.9554, 0.7637)
Lu (0.6932, 0.3068, 0.0000)
Lu (0.1917, 0.4279, 0.2363)
Fe (0.0000, 0.0000, 0.0000)
Fe (0.6169, 0.6169, 0.0000)
Fe (0.3831, 0.3831, 0.0000)
In (0.5000, 0.0000, 0.5000)
In (0.0000, 0.5000, 0.5000)

Entry 4:
The following is a DFT calculation (meta-GGA SCAN) of RbCoCuF6 at its PBEsol-relaxed geometry.

- size of the total moment (μB/atom) = 0.111
- V (Å³/f.u.) = 124

Cell: 7.0381 7.0790 7.0790 Å, 59.04 60.19 60.19°
Atoms (fractional coordinates):
F (0.6893, 0.5837, 0.6606)
F (0.3286, 0.4214, 0.9214)
F (0.0664, 0.1606, 0.0837)
F (0.0664, 0.5837, 0.6606)
F (0.9336, 0.8394, 0.9163)
F (0.9336, 0.4163, 0.3394)
F (0.9389, 0.8111, 0.3111)
F (0.6893, 0.1606, 0.0837)
F (0.3107, 0.8394, 0.9163)
F (0.3107, 0.4163, 0.3394)
F (0.0611, 0.1889, 0.6889)
F (0.6714, 0.5786, 0.0786)
Rb (0.6223, 0.1277, 0.6277)
Rb (0.3777, 0.8723, 0.3723)
Cu (0.0000, 0.5000, 0.0000)
Cu (0.5000, 0.5000, 0.0000)
Co (0.0000, 0.5000, 0.5000)
Co (0.0000, 0.0000, 0.0000)

Entry 5:
The following is a DFT calculation (meta-GGA SCAN) of Na2SiRu at its PBEsol-relaxed geometry.

- size of the total moment (μB/atom) = 0.186
- V (Å³/f.u.) = 74

Cell: 4.7623 6.0563 6.0563 Å, 81.11 66.85 66.85°
Atoms (fractional coordinates):
Na (0.3750, 0.4994, 0.0006)
Na (0.6244, 0.0006, 0.5006)
Na (0.1256, 0.9994, 0.4994)
Na (0.8750, 0.5006, 0.9994)
Ru (0.0000, 0.0000, 0.0000)
Ru (0.7500, 0.5000, 0.5000)
Si (0.2500, 0.5000, 0.5000)
Si (0.5000, 0.0000, 0.0000)

Entry 6:
The following is a DFT calculation (meta-GGA SCAN) of ZrSbAs at its PBEsol-relaxed geometry.

- size of the total moment (μB/atom) = 0.000
- V (Å³/f.u.) = 61

Cell: 3.6046 3.6046 5.3302 Å, 109.76 109.76 90.00°
Atoms (fractional coordinates):
Zr (0.6501, 0.6501, 0.3001)
Sb (0.3298, 0.3298, 0.6596)
As (0.0201, 0.0201, 0.0403)

Entry 7:
The following is a DFT calculation (meta-GGA SCAN) of LaPIrS2 at its PBEsol-relaxed geometry.

- size of the total moment (μB/atom) = 0.000
- V (Å³/f.u.) = 102

Cell: 4.3523 4.8439 4.8439 Å, 90.00 90.00 90.00°
Atoms (fractional coordinates):
S (0.0000, 0.5000, 0.0000)
S (0.0000, 0.0000, 0.5000)
La (0.5000, 0.5000, 0.5000)
P (0.5000, 0.0000, 0.0000)
Ir (0.0000, 0.0000, 0.0000)

Entry 8:
The following is a DFT calculation (meta-GGA SCAN) of RbBaSbI2 at its PBEsol-relaxed geometry.

- size of the total moment (μB/atom) = 0.219
- V (Å³/f.u.) = 240

Cell: 6.0879 6.2844 6.2844 Å, 90.00 90.00 90.00°
Atoms (fractional coordinates):
Ba (0.5000, 0.5000, 0.5000)
Sb (0.5000, 0.0000, 0.0000)
I (0.0000, 0.0000, 0.5000)
I (0.0000, 0.5000, 0.0000)
Rb (0.0000, 0.0000, 0.0000)

Entry 9:
The following is a DFT calculation (meta-GGA SCAN) of DyInCu at its PBEsol-relaxed geometry.

- size of the total moment (μB/atom) = 0.000
- V (Å³/f.u.) = 60
- calculated formation energy (eV per atom) = -0.528

Cell: 3.7872 7.4148 7.4148 Å, 120.00 90.00 90.00°
Atoms (fractional coordinates):
In (0.0000, 0.2565, 0.2565)
In (0.0000, 0.0000, 0.7435)
In (0.0000, 0.7435, 0.0000)
Cu (0.0000, 0.3333, 0.6667)
Cu (0.0000, 0.6667, 0.3333)
Cu (0.5000, 0.0000, 0.0000)
Dy (0.5000, 0.0000, 0.4096)
Dy (0.5000, 0.5904, 0.5904)
Dy (0.5000, 0.4096, 0.0000)

Entry 10:
The following is a DFT calculation (meta-GGA SCAN) of AlIr2Cl at its PBEsol-relaxed geometry.

- size of the total moment (μB/atom) = 0.000
- V (Å³/f.u.) = 57

Cell: 4.0672 4.5100 4.0672 Å, 63.20 90.00 116.80°
Atoms (fractional coordinates):
Ir (0.2500, 0.5000, 0.2500)
Ir (0.7500, 0.5000, 0.7500)
Al (0.5000, 0.0000, 0.5000)
Cl (0.0000, 0.0000, 0.0000)

Entry 11:
The following is a DFT calculation (meta-GGA SCAN) of AgAsSe2 at its PBEsol-relaxed geometry.

- size of the total moment (μB/atom) = 0.000
- V (Å³/f.u.) = 82

Cell: 2.8633 5.3595 5.3595 Å, 90.02 90.04 90.04°
Atoms (fractional coordinates):
Ag (0.0000, 0.0000, 0.0000)
Se (0.0000, 0.5000, 0.0000)
Se (0.0000, 0.0000, 0.5000)
As (0.0000, 0.5000, 0.5000)

Entry 12:
The following is a DFT calculation (meta-GGA SCAN) of LaY2Mg at its PBEsol-relaxed geometry.

- size of the total moment (μB/atom) = 0.004
- V (Å³/f.u.) = 121
- calculated formation energy (eV per atom) = -0.032

Cell: 3.7887 5.6190 6.6030 Å, 115.18 106.67 90.00°
Atoms (fractional coordinates):
Y (0.2283, 0.2283, 0.4566)
Y (0.7717, 0.7717, 0.5434)
Mg (0.5000, 0.0000, 0.0000)
La (0.0000, 0.5000, 0.0000)

Entry 13:
The following is a DFT calculation (meta-GGA SCAN) of Al5Re at its PBEsol-relaxed geometry.

- size of the total moment (μB/atom) = 0.000
- V (Å³/f.u.) = 89
- calculated formation energy (eV per atom) = -0.188

Cell: 3.5605 4.9080 5.7047 Å, 105.87 90.00 111.27°
Atoms (fractional coordinates):
Al (0.1702, 0.3405, 0.3336)
Al (0.1571, 0.3143, 0.8282)
Al (0.5000, 0.0000, 0.0000)
Al (0.8429, 0.6857, 0.1718)
Al (0.8298, 0.6595, 0.6664)
Re (0.5000, 0.0000, 0.5000)

Entry 14:
The following is a DFT calculation (meta-GGA SCAN) of Cu3MoS at its PBEsol-relaxed geometry.

- size of the total moment (μB/atom) = 0.000
- V (Å³/f.u.) = 97

Cell: 4.5904 4.5904 4.5904 Å, 90.00 90.00 90.00°
Atoms (fractional coordinates):
Cu (0.0000, 0.0000, 0.5000)
Cu (0.5000, 0.0000, 0.0000)
Cu (0.0000, 0.5000, 0.0000)
Mo (0.0000, 0.0000, 0.0000)
S (0.5000, 0.5000, 0.5000)

Entry 15:
The following is a DFT calculation (meta-GGA SCAN) of TeHPt2 at its PBEsol-relaxed geometry.

- size of the total moment (μB/atom) = 0.000
- V (Å³/f.u.) = 64

Cell: 4.9223 4.9223 6.2941 Å, 113.02 113.02 90.00°
Atoms (fractional coordinates):
H (0.5000, 0.5000, 0.0000)
H (0.7500, 0.2500, 0.5000)
Pt (0.5012, 0.8750, 0.2500)
Pt (0.7488, 0.3750, 0.2500)
Pt (0.6250, 0.4988, 0.7500)
Pt (0.1250, 0.2512, 0.7500)
Te (0.2500, 0.7500, 0.5000)
Te (0.0000, 0.0000, 0.0000)

Entry 16:
The following is a DFT calculation (meta-GGA SCAN) of CaAg2Sb at its PBEsol-relaxed geometry.

- size of the total moment (μB/atom) = 0.000
- V (Å³/f.u.) = 85

Cell: 4.3852 4.3852 4.4379 Å, 90.00 90.00 90.00°
Atoms (fractional coordinates):
Ca (0.5000, 0.5000, 0.5000)
Ag (0.5000, 0.0000, 0.0000)
Ag (0.0000, 0.5000, 0.0000)
Sb (0.0000, 0.0000, 0.5000)

Entry 17:
The following is a DFT calculation (meta-GGA SCAN) of Ca2Mg at its PBEsol-relaxed geometry.

- size of the total moment (μB/atom) = 0.013
- V (Å³/f.u.) = 102
- calculated formation energy (eV per atom) = 0.048

Cell: 3.5937 5.7136 5.7136 Å, 120.00 90.00 90.00°
Atoms (fractional coordinates):
Mg (0.0000, 0.0000, 0.0000)
Ca (0.3044, 0.6667, 0.3333)
Ca (0.6956, 0.3333, 0.6667)

Entry 18:
The following is a DFT calculation (meta-GGA SCAN) of K3Ag9Sb4S12 at its PBEsol-relaxed geometry.

- size of the total moment (μB/atom) = 0.000
- V (Å³/f.u.) = 652

Cell: 9.4798 9.4798 9.4798 Å, 104.68 111.92 111.92°
Atoms (fractional coordinates):
S (0.0231, 0.3399, 0.6819)
S (0.2873, 0.4091, 0.2027)
S (0.2267, 0.1068, 0.4239)
S (0.3171, 0.1200, 0.8932)
S (0.6580, 0.3181, 0.3412)
S (0.6829, 0.5761, 0.8029)
S (0.7127, 0.9154, 0.1218)
S (0.2064, 0.7973, 0.0846)
S (0.3420, 0.6832, 0.6601)
S (0.7733, 0.1971, 0.8800)
S (0.7936, 0.8782, 0.5909)
S (0.9769, 0.6588, 0.3168)
Ag (0.1747, 0.5149, 0.9986)
Ag (0.5000, 0.2500, 0.7500)
Ag (0.8253, 0.8239, 0.3402)
Ag (0.5100, 0.3587, 0.4988)
Ag (0.4900, 0.9888, 0.8487)
Ag (0.1401, 0.1513, 0.6413)
Ag (0.8599, 0.5012, 0.0112)
Ag (0.4837, 0.6598, 0.4851)
Ag (0.5163, 0.0014, 0.1761)
K (0.0000, 0.0000, 0.0000)
K (0.0000, 0.3312, 0.3312)
K (0.0000, 0.6688, 0.6688)
Sb (0.5167, 0.4088, 0.1393)
Sb (0.2695, 0.8607, 0.3774)
Sb (0.4833, 0.6226, 0.8921)
Sb (0.7305, 0.1079, 0.5912)

Entry 19:
The following is a DFT calculation (meta-GGA SCAN) of Sb3SeBr at its PBEsol-relaxed geometry.

- size of the total moment (μB/atom) = 0.000
- V (Å³/f.u.) = 160

Cell: 5.4278 5.4278 5.4278 Å, 90.00 90.00 90.00°
Atoms (fractional coordinates):
Se (0.5000, 0.5000, 0.5000)
Br (0.0000, 0.0000, 0.0000)
Sb (0.0000, 0.0000, 0.5000)
Sb (0.5000, 0.0000, 0.0000)
Sb (0.0000, 0.5000, 0.0000)

Entry 20:
The following is a DFT calculation (meta-GGA SCAN) of CaInAg4 at its PBEsol-relaxed geometry.

- size of the total moment (μB/atom) = 0.000
- V (Å³/f.u.) = 118
- calculated formation energy (eV per atom) = -0.227

Cell: 5.5020 5.5020 5.5020 Å, 60.00 60.00 60.00°
Atoms (fractional coordinates):
In (0.0000, 0.0000, 0.0000)
Ag (0.8758, 0.3747, 0.3747)
Ag (0.3747, 0.8758, 0.3747)
Ag (0.3747, 0.3747, 0.3747)
Ag (0.3747, 0.3747, 0.8758)
Ca (0.7500, 0.7500, 0.7500)

Entry 21:
The following is a DFT calculation (meta-GGA SCAN) of CaMgC2O6 at its PBEsol-relaxed geometry.

- size of the total moment (μB/atom) = 0.000
- V (Å³/f.u.) = 106

Cell: 4.8209 4.8209 5.9771 Å, 66.22 66.22 60.00°
Atoms (fractional coordinates):
O (0.7241, 0.5053, 0.7317)
O (0.0388, 0.7241, 0.7317)
O (0.5053, 0.0388, 0.7317)
O (0.9612, 0.2759, 0.2683)
O (0.2759, 0.4947, 0.2683)
O (0.4947, 0.9612, 0.2683)
Ca (0.0000, 0.0000, 0.0000)
Mg (0.5000, 0.5000, 0.5000)
C (0.2429, 0.2429, 0.2714)
C (0.7571, 0.7571, 0.7286)

Entry 22:
The following is a DFT calculation (meta-GGA SCAN) of AlCuHg at its PBEsol-relaxed geometry.

- size of the total moment (μB/atom) = 0.000
- V (Å³/f.u.) = 48
- calculated formation energy (eV per atom) = 0.017

Cell: 3.4209 3.4611 4.7160 Å, 111.53 111.27 90.00°
Atoms (fractional coordinates):
Cu (0.3369, 0.3369, 0.6739)
Al (0.9947, 0.9947, 0.9894)
Hg (0.6684, 0.6684, 0.3367)

Entry 23:
The following is a DFT calculation (meta-GGA SCAN) of Sr4CaAu at its PBEsol-relaxed geometry.

- size of the total moment (μB/atom) = 0.164
- V (Å³/f.u.) = 269
- calculated formation energy (eV per atom) = 0.403

Cell: 7.2459 7.2459 7.2459 Å, 60.00 60.00 60.00°
Atoms (fractional coordinates):
Sr (0.8744, 0.3752, 0.3752)
Sr (0.3752, 0.3752, 0.8744)
Sr (0.3752, 0.8744, 0.3752)
Sr (0.3752, 0.3752, 0.3752)
Ca (0.0000, 0.0000, 0.0000)
Au (0.7500, 0.7500, 0.7500)

Number 1: total energy -42.205 eV/atom. Number 2: total energy -13.839 eV/atom. Number 3: total energy -46.423 eV/atom. Number 4: total energy -10.584 eV/atom. Number 5: total energy -12.694 eV/atom. Number 6: total energy -30.073 eV/atom. Number 7: total energy -29.559 eV/atom. Number 8: total energy -34.742 eV/atom. Number 9: total energy -32.655 eV/atom. Number 10: total energy -38.947 eV/atom. Number 11: total energy -22.856 eV/atom. Number 12: total energy -25.973 eV/atom. Number 13: total energy -18.497 eV/atom. Number 14: total energy -16.183 eV/atom. Number 15: total energy -45.321 eV/atom. Number 16: total energy -27.743 eV/atom. Number 17: total energy -8.052 eV/atom. Number 18: total energy -20.853 eV/atom. Number 19: total energy -29.002 eV/atom. Number 20: total energy -28.314 eV/atom. Number 21: total energy -9.572 eV/atom. Number 22: total energy -30.355 eV/atom. Number 23: total energy -27.584 eV/atom.